Entry 1:
The following is a DFT calculation (PBE) of crystalline K2CaSe2O6 at its relaxed geometry.

CIF file:
```
data_K2CaSe2O6
_chemical_formula_sum 'K4 Ca2 Se4 O12'
_symmetry_space_group_name_H-M 'C 1 2/m 1'
_symmetry_Int_Tables_number 12
_cell_length_a 9.5407
_cell_length_b 6.0489
_cell_length_c 7.4465
_cell_angle_alpha 90.00
_cell_angle_beta 112.90
_cell_angle_gamma 90.00
loop_
_symmetry_equiv_pos_as_xyz
'x,y,z'
'-x,-y,-z'
'-x,y,-z'
'x,-y,z'
'x+1/2,y+1/2,z'
'-x+1/2,-y+1/2,-z'
'-x+1/2,y+1/2,-z'
'x+1/2,-y+1/2,z'
loop_
_atom_site_label
_atom_site_fract_x
_atom_site_fract_y
_atom_site_fract_z
K1 0.2054 0.0000 0.1678
Ca1 0.0000 0.0000 0.5000
Se1 0.0808 0.5000 0.2358
O1 0.0267 0.2727 0.7508
O2 0.2390 0.5000 0.4468
```

Its crystal system is monoclinic. For the total moment, the calculation gives 0.00 Bohr magnetons per cell. As for the formation energy without anion corrections: -1.627 eV/atom.

---

Entry 2:
The following is a DFT calculation (PBE) of crystalline KCaSe2O6 at its relaxed geometry.

CIF file:
```
data_KCaSe2O6
_chemical_formula_sum 'K4 Ca4 Se8 O24'
_symmetry_space_group_name_H-M 'C 1 2/c 1'
_symmetry_Int_Tables_number 15
_cell_length_a 9.3954
_cell_length_b 10.7196
_cell_length_c 6.9389
_cell_angle_alpha 90.00
_cell_angle_beta 104.37
_cell_angle_gamma 90.00
loop_
_symmetry_equiv_pos_as_xyz
'x,y,z'
'-x,-y,-z'
'-x,y,-z+1/2'
'x,-y,z+1/2'
'x+1/2,y+1/2,z'
'-x+1/2,-y+1/2,-z'
'-x+1/2,y+1/2,-z+1/2'
'x+1/2,-y+1/2,z+1/2'
loop_
_atom_site_label
_atom_site_fract_x
_atom_site_fract_y
_atom_site_fract_z
K1 0.0000 0.1764 0.2500
Ca1 0.0000 0.4179 0.7500
Se1 0.2073 0.1136 0.8199
O1 0.1034 0.4059 0.1047
O2 0.1542 0.0186 0.6190
O3 0.1824 0.2642 0.7350
```

Its crystal system is monoclinic. For the total moment, the calculation gives 0.00 Bohr magnetons per cell. As for the formation energy without anion corrections: -1.452 eV/atom.

---

Entry 3:
The following is a DFT calculation (PBE) of crystalline KCaYSeO6 at its relaxed geometry.

CIF file:
```
data_KCaYSeO6
_chemical_formula_sum 'K4 Ca4 Y4 Se4 O24'
_symmetry_space_group_name_H-M 'F -4 3 m'
_symmetry_Int_Tables_number 216
_symmetry_space_group_name_Hall 'F -4 2 3'
_cell_length_a 8.0628
_cell_length_b 8.0628
_cell_length_c 8.0628
_cell_angle_alpha 90.00
_cell_angle_beta 90.00
_cell_angle_gamma 90.00
loop_
_atom_site_label
_atom_site_fract_x
_atom_site_fract_y
_atom_site_fract_z
K1 0.0000 0.0000 0.0000
Ca1 0.0000 0.0000 0.5000
Y1 0.2500 0.2500 0.2500
Se1 0.2500 0.2500 0.7500
O1 0.0242 0.2500 0.7500
```

Its crystal system is cubic. For the total moment, the calculation gives 0.00 Bohr magnetons per cell. As for the formation energy without anion corrections: -1.975 eV/atom.

---

Entry 4:
The following is a DFT calculation (PBE) of crystalline K3CaSi2O6 at its relaxed geometry.

CIF file:
```
data_K3CaSi2O6
_chemical_formula_sum 'K3 Ca1 Si2 O6'
_symmetry_space_group_name_H-M 'P -3 m 1'
_symmetry_Int_Tables_number 164
_symmetry_space_group_name_Hall '-P 3 2"'
_cell_length_a 5.9456
_cell_length_b 5.9456
_cell_length_c 7.2956
_cell_angle_alpha 90.00
_cell_angle_beta 90.00
_cell_angle_gamma 120.00
loop_
_atom_site_label
_atom_site_fract_x
_atom_site_fract_y
_atom_site_fract_z
K1 0.0000 0.0000 0.0000
K2 0.3333 0.6667 0.7223
Ca1 0.0000 0.0000 0.5000
Si1 0.3333 0.6667 0.2662
O1 0.1791 0.3583 0.2961
```

Its crystal system is trigonal. For the total moment, the calculation gives 0.80 Bohr magnetons per cell. As for the formation energy without anion corrections: -2.235 eV/atom.

---

Entry 5:
The following is a DFT calculation (PBE) of crystalline KCaSmO3 at its relaxed geometry.

CIF file:
```
data_KCaSmO3
_chemical_formula_sum 'K2 Ca2 Sm2 O6'
_symmetry_space_group_name_H-M 'P 1 21/m 1'
_symmetry_Int_Tables_number 11
_cell_length_a 7.4194
_cell_length_b 3.5447
_cell_length_c 10.0717
_cell_angle_alpha 90.00
_cell_angle_beta 90.90
_cell_angle_gamma 90.00
loop_
_symmetry_equiv_pos_as_xyz
'x,y,z'
'-x,-y,-z'
'-x,y+1/2,-z'
'x,-y+1/2,z'
loop_
_atom_site_label
_atom_site_fract_x
_atom_site_fract_y
_atom_site_fract_z
K1 0.1310 0.2500 0.2161
Ca1 0.1616 0.2500 0.5609
Sm1 0.3952 0.7500 0.8715
O1 0.1455 0.7500 0.4307
O2 0.2368 0.2500 0.7850
O3 0.3860 0.7500 0.0907
```

Its crystal system is monoclinic. For the total moment, the calculation gives 0.04 Bohr magnetons per cell. As for the formation energy without anion corrections: -2.531 eV/atom.

---

Entry 6:
The following is a DFT calculation (PBE) of crystalline K2CaSnO4 at its relaxed geometry.

CIF file:
```
data_K2CaSnO4
_chemical_formula_sum 'K2 Ca1 Sn1 O4'
_symmetry_space_group_name_H-M 'P 1 2/m 1'
_symmetry_Int_Tables_number 10
_cell_length_a 5.9139
_cell_length_b 3.3867
_cell_length_c 6.5048
_cell_angle_alpha 90.00
_cell_angle_beta 107.78
_cell_angle_gamma 90.00
loop_
_symmetry_equiv_pos_as_xyz
'x,y,z'
'-x,-y,-z'
'-x,y,-z'
'x,-y,z'
loop_
_atom_site_label
_atom_site_fract_x
_atom_site_fract_y
_atom_site_fract_z
K1 0.0000 0.0000 0.0000
K2 0.5000 0.5000 0.0000
Ca1 0.0000 0.5000 0.5000
Sn1 0.5000 0.0000 0.5000
O1 0.2636 0.0000 0.6816
O2 0.2908 0.5000 0.3117
```

Its crystal system is monoclinic. For the total moment, the calculation gives 0.00 Bohr magnetons per cell. As for the formation energy without anion corrections: -1.935 eV/atom.

---

Entry 7:
The following is a DFT calculation (PBE) of crystalline K3CaTa2O9 at its relaxed geometry.

CIF file:
```
data_K3CaTa2O9
_chemical_formula_sum 'K3 Ca1 Ta2 O9'
_symmetry_space_group_name_H-M 'P -3 m 1'
_symmetry_Int_Tables_number 164
_symmetry_space_group_name_Hall '-P 3 2"'
_cell_length_a 5.9514
_cell_length_b 5.9514
_cell_length_c 7.3865
_cell_angle_alpha 90.00
_cell_angle_beta 90.00
_cell_angle_gamma 120.00
loop_
_atom_site_label
_atom_site_fract_x
_atom_site_fract_y
_atom_site_fract_z
K1 0.0000 0.0000 0.0000
K2 0.3333 0.6667 0.6609
Ca1 0.0000 0.0000 0.5000
Ta1 0.3333 0.6667 0.1572
O1 0.0000 0.5000 0.0000
O2 0.1794 0.3587 0.3091
```

Its crystal system is trigonal. For the total moment, the calculation gives 3.06 Bohr magnetons per cell. As for the formation energy without anion corrections: -2.206 eV/atom.

---

Entry 8:
The following is a DFT calculation (PBE) of crystalline K2CaTaO4 at its relaxed geometry.

CIF file:
```
data_K2CaTaO4
_chemical_formula_sum 'K4 Ca2 Ta2 O8'
_symmetry_space_group_name_H-M 'I -4'
_symmetry_Int_Tables_number 82
_cell_length_a 6.1641
_cell_length_b 6.1641
_cell_length_c 8.1684
_cell_angle_alpha 90.00
_cell_angle_beta 90.00
_cell_angle_gamma 90.00
loop_
_symmetry_equiv_pos_as_xyz
'x,y,z'
'y,-x,-z'
'-x,-y,z'
'-y,x,-z'
'x+1/2,y+1/2,z+1/2'
'y+1/2,-x+1/2,-z+1/2'
'-x+1/2,-y+1/2,z+1/2'
'-y+1/2,x+1/2,-z+1/2'
loop_
_atom_site_label
_atom_site_fract_x
_atom_site_fract_y
_atom_site_fract_z
K1 0.0000 0.0000 0.0000
K2 0.0000 0.5000 0.2500
Ca1 0.0000 0.0000 0.5000
Ta1 0.0000 0.5000 0.7500
O1 0.1567 0.7386 0.6550
```

Its crystal system is tetragonal. For the total moment, the calculation gives 1.62 Bohr magnetons per cell. As for the formation energy without anion corrections: -2.292 eV/atom.